1.
# PmY2Al | Alexandria | GGA-PBE | optimized geometry
# DOS at the Fermi energy: 6.29 states/eV/f.u.
# Energy of formation: -0.08 eV per formula unit
# Total magnetic moment: 5.443 μB/cell
# Energy above the lowest structure with this stoichiometry: 186 meV/atom
# Calculated total energy: -5.38 eV/atom
data_PmY2Al
_chemical_formula_sum 'Pm4 Y8 Al4'
_space_group_name_H-M_alt 'F m -3 m'
_space_group_IT_number 225
_space_group_name_Hall '-F 4 2 3'
_cell_length_a 7.6500
_cell_length_b 7.6500
_cell_length_c 7.6500
_cell_angle_alpha 90.00
_cell_angle_beta 90.00
_cell_angle_gamma 90.00
loop_
_atom_site_label
_atom_site_fract_x
_atom_site_fract_y
_atom_site_fract_z
_atom_site_occupancy
Pm1 0.0000 0.0000 0.0000 1
Y1 0.2500 0.2500 0.2500 1
Al1 0.0000 0.0000 0.5000 1



2.
# Pm3YAl4 | Alexandria | GGA-PBE | optimized geometry
# DOS at the Fermi energy: 3.32 states/eV/f.u.
# Energy of formation: -3.06 eV per formula unit
# Total magnetic moment: 0.000 μB/cell
# Calculated total energy: -4.84 eV/atom
data_Pm3YAl4
_chemical_formula_sum 'Pm3 Y1 Al4'
_space_group_name_H-M_alt 'P 4/m m m'
_space_group_IT_number 123
_space_group_name_Hall '-P 4 2'
_cell_length_a 3.6728
_cell_length_b 3.6728
_cell_length_c 14.7279
_cell_angle_alpha 90.00
_cell_angle_beta 90.00
_cell_angle_gamma 90.00
loop_
_atom_site_label
_atom_site_fract_x
_atom_site_fract_y
_atom_site_fract_z
_atom_site_occupancy
Pm1 0.0000 0.0000 0.0000 1
Pm2 0.0000 0.0000 0.2536 1
Y1 0.0000 0.0000 0.5000 1
Al1 0.5000 0.5000 0.1266 1
Al2 0.5000 0.5000 0.3823 1



3.
# Pm4Y5Al | Alexandria | GGA-PBE | optimized geometry
# DOS at the Fermi energy: 13.50 states/eV/f.u.
# Energy of formation: -0.69 eV per formula unit
# Total magnetic moment: 0.000 μB/cell
# Calculated total energy: -5.58 eV/atom
data_Pm4Y5Al
_chemical_formula_sum 'Pm4 Y5 Al1'
_space_group_name_H-M_alt 'P 4/m m m'
_space_group_IT_number 123
_space_group_name_Hall '-P 4 2'
_cell_length_a 3.5943
_cell_length_b 3.5943
_cell_length_c 24.3655
_cell_angle_alpha 90.00
_cell_angle_beta 90.00
_cell_angle_gamma 90.00
loop_
_atom_site_label
_atom_site_fract_x
_atom_site_fract_y
_atom_site_fract_z
_atom_site_occupancy
Pm1 0.0000 0.0000 0.1050 1
Pm2 0.0000 0.0000 0.3164 1
Y1 0.5000 0.5000 0.0000 1
Y2 0.5000 0.5000 0.2107 1
Y3 0.5000 0.5000 0.4238 1
Al1 0.0000 0.0000 0.5000 1



4.
# Pm4YAl | Alexandria | GGA-PBE | optimized geometry
# DOS at the Fermi energy: 6.95 states/eV/f.u.
# Energy of formation: -0.60 eV per formula unit
# Total magnetic moment: 0.000 μB/cell
# Energy above the lowest structure with this stoichiometry: 0 meV/atom
# Calculated total energy: -4.97 eV/atom
data_Pm4YAl
_chemical_formula_sum 'Pm4 Y1 Al1'
_space_group_name_H-M_alt 'P 4/m m m'
_space_group_IT_number 123
_space_group_name_Hall '-P 4 2'
_cell_length_a 3.6009
_cell_length_b 3.6009
_cell_length_c 14.4243
_cell_angle_alpha 90.00
_cell_angle_beta 90.00
_cell_angle_gamma 90.00
loop_
_atom_site_label
_atom_site_fract_x
_atom_site_fract_y
_atom_site_fract_z
_atom_site_occupancy
Pm1 0.0000 0.0000 0.1358 1
Pm2 0.5000 0.5000 0.3207 1
Y1 0.0000 0.0000 0.5000 1
Al1 0.5000 0.5000 0.0000 1



5.
# Pm2YAl2 | Alexandria | GGA-PBE | optimized geometry
# DOS at the Fermi energy: 5.10 states/eV/f.u.
# Energy of formation: -0.80 eV per formula unit
# Total magnetic moment: 0.000 μB/cell
# Energy above the lowest structure with this stoichiometry: 162 meV/atom
# Calculated total energy: -4.85 eV/atom
data_Pm2YAl2
_chemical_formula_sum 'Pm4 Y2 Al4'
_space_group_name_H-M_alt 'P 1 21/m 1'
_space_group_IT_number 11
_cell_length_a 6.2671
_cell_length_b 3.6706
_cell_length_c 12.7147
_cell_angle_alpha 90.00
_cell_angle_beta 96.81
_cell_angle_gamma 90.00
loop_
_space_group_symop_operation_xyz
'x,y,z'
'-x,-y,-z'
'-x,y+1/2,-z'
'x,-y+1/2,z'
loop_
_atom_site_label
_atom_site_fract_x
_atom_site_fract_y
_atom_site_fract_z
_atom_site_occupancy
Pm1 0.0679 0.2500 0.3584 1
Pm2 0.2249 0.7500 0.9280 1
Y1 0.4637 0.2500 0.7104 1
Al1 0.2872 0.2500 0.1274 1
Al2 0.3466 0.7500 0.5160 1



6.
# Pm9YAl2 | Alexandria | GGA-PBE | optimized geometry
# DOS at the Fermi energy: 14.50 states/eV/f.u.
# Energy of formation: -1.18 eV per formula unit
# Total magnetic moment: 0.000 μB/cell
# Calculated total energy: -4.82 eV/atom
data_Pm9YAl2
_chemical_formula_sum 'Pm9 Y1 Al2'
_space_group_name_H-M_alt 'P 4/m m m'
_space_group_IT_number 123
_space_group_name_Hall '-P 4 2'
_cell_length_a 4.9234
_cell_length_b 4.9234
_cell_length_c 15.0968
_cell_angle_alpha 90.00
_cell_angle_beta 90.00
_cell_angle_gamma 90.00
loop_
_atom_site_label
_atom_site_fract_x
_atom_site_fract_y
_atom_site_fract_z
_atom_site_occupancy
Pm1 0.0000 0.0000 0.0000 1
Pm2 0.0000 0.0000 0.3400 1
Pm3 0.0000 0.5000 0.1779 1
Pm4 0.0000 0.5000 0.5000 1
Y1 0.5000 0.5000 0.0000 1
Al1 0.5000 0.5000 0.3402 1



7.
# Pm4YAl | Alexandria | GGA-PBE | optimized geometry
# DOS at the Fermi energy: 8.07 states/eV/f.u.
# Energy of formation: -0.17 eV per formula unit
# Total magnetic moment: 0.000 μB/cell
# Energy above the lowest structure with this stoichiometry: 72 meV/atom
# Calculated total energy: -4.90 eV/atom
data_Pm4YAl
_chemical_formula_sum 'Pm16 Y4 Al4'
_space_group_name_H-M_alt 'C 1 2/c 1'
_space_group_IT_number 15
_cell_length_a 8.9230
_cell_length_b 14.0778
_cell_length_c 6.3763
_cell_angle_alpha 90.00
_cell_angle_beta 109.15
_cell_angle_gamma 90.00
loop_
_space_group_symop_operation_xyz
'x,y,z'
'-x,-y,-z'
'-x,y,-z+1/2'
'x,-y,z+1/2'
'x+1/2,y+1/2,z'
'-x+1/2,-y+1/2,-z'
'-x+1/2,y+1/2,-z+1/2'
'x+1/2,-y+1/2,z+1/2'
loop_
_atom_site_label
_atom_site_fract_x
_atom_site_fract_y
_atom_site_fract_z
_atom_site_occupancy
Pm1 0.0996 0.1836 0.0458 1
Pm2 0.2203 0.3843 0.3759 1
Y1 0.0000 0.4106 0.7500 1
Al1 0.0000 0.0004 0.2500 1



8.
# PmY4Al4 | Alexandria | GGA-PBE | optimized geometry
# DOS at the Fermi energy: 8.00 states/eV/f.u.
# Energy of formation: -1.46 eV per formula unit
# Total magnetic moment: 0.000 μB/cell
# Calculated total energy: -5.23 eV/atom
data_PmY4Al4
_chemical_formula_sum 'Pm2 Y8 Al8'
_space_group_name_H-M_alt 'P 42/n'
_space_group_IT_number 86
_cell_length_a 8.8856
_cell_length_b 8.8856
_cell_length_c 5.8131
_cell_angle_alpha 90.00
_cell_angle_beta 90.00
_cell_angle_gamma 90.00
loop_
_space_group_symop_operation_xyz
'x,y,z'
'-x,-y,-z'
'-y,x+1/2,z+1/2'
'y,-x+1/2,-z+1/2'
'-x+1/2,-y+1/2,z'
'x+1/2,y+1/2,-z'
'y+1/2,-x,z+1/2'
'-y+1/2,x,-z+1/2'
loop_
_atom_site_label
_atom_site_fract_x
_atom_site_fract_y
_atom_site_fract_z
_atom_site_occupancy
Pm1 0.2500 0.2500 0.2500 1
Y1 0.0847 0.8247 0.6424 1
Al1 0.0539 0.1558 0.8392 1



9.
# Pm3YAl8 | Alexandria | GGA-PBE | optimized geometry
# DOS at the Fermi energy: 10.27 states/eV/f.u.
# Energy of formation: -6.15 eV per formula unit
# Total magnetic moment: 0.001 μB/cell
# Energy above the lowest structure with this stoichiometry: 0 meV/atom
# Calculated total energy: -4.73 eV/atom
data_Pm3YAl8
_chemical_formula_sum 'Pm9 Y3 Al24'
_space_group_name_H-M_alt 'R 3 m'
_space_group_IT_number 160
_space_group_name_Hall 'R 3 -2"'
_cell_length_a 5.6305
_cell_length_b 5.6305
_cell_length_c 27.6989
_cell_angle_alpha 90.00
_cell_angle_beta 90.00
_cell_angle_gamma 120.00
loop_
_atom_site_label
_atom_site_fract_x
_atom_site_fract_y
_atom_site_fract_z
_atom_site_occupancy
Pm1 0.0000 0.0000 0.0000 1
Pm2 0.0000 0.0000 0.1248 1
Pm3 0.0000 0.0000 0.6248 1
Y1 0.0000 0.0000 0.5003 1
Al1 0.0000 0.0000 0.3122 1
Al2 0.0000 0.0000 0.8127 1
Al3 0.0004 0.5002 0.0631 1
Al4 0.9996 0.4998 0.5619 1



10.
# Pm6YAl | Alexandria | GGA-PBE | optimized geometry
# DOS at the Fermi energy: 8.79 states/eV/f.u.
# Energy of formation: -0.50 eV per formula unit
# Total magnetic moment: 0.000 μB/cell
# Calculated total energy: -4.90 eV/atom
data_Pm6YAl
_chemical_formula_sum 'Pm6 Y1 Al1'
_space_group_name_H-M_alt 'P 4/m m m'
_space_group_IT_number 123
_space_group_name_Hall '-P 4 2'
_cell_length_a 4.9581
_cell_length_b 4.9581
_cell_length_c 10.2032
_cell_angle_alpha 90.00
_cell_angle_beta 90.00
_cell_angle_gamma 90.00
loop_
_atom_site_label
_atom_site_fract_x
_atom_site_fract_y
_atom_site_fract_z
_atom_site_occupancy
Pm1 0.0000 0.0000 0.0000 1
Pm2 0.0000 0.0000 0.5000 1
Pm3 0.0000 0.5000 0.2376 1
Y1 0.5000 0.5000 0.5000 1
Al1 0.5000 0.5000 0.0000 1